# 1
DFT (PBE) results for a relaxed structure of NbTl.

**Total DFT energy (no corrections)**: -4.36 eV/atom
**M_tot**: 0.03 Bohr magnetons per cell
**Mass density**: 7.963 Mg/m³

Cell lengths 4.442, 4.442, 4.442 Å; angles 60.00, 60.00, 60.00 degrees
Positions (direct):
Nb: 0.000 0.000 0.000
Tl: 0.250 0.250 0.250

---

# 2
DFT (PBE) results for a relaxed structure of NbTl.

**Total DFT energy (no corrections)**: -5.34 eV/atom
**M_tot**: 0.00 Bohr magnetons per cell
**Mass density**: 10.720 Mg/m³

Cell lengths 4.023, 4.023, 4.023 Å; angles 60.00, 60.00, 60.00 degrees
Positions (direct):
Nb: 0.000 0.000 0.000
Tl: 0.500 0.500 0.500

---

# 3
DFT (PBE) results for a relaxed structure of Nb2TlW.

**Total DFT energy (no corrections)**: -8.32 eV/atom
**M_tot**: 0.03 Bohr magnetons per cell
**Mass density**: 12.867 Mg/m³

Cell lengths 4.714, 4.714, 4.714 Å; angles 60.00, 60.00, 60.00 degrees
Positions (direct):
Nb: 0.000 0.000 0.000
Nb: 0.250 0.250 0.250
Tl: 0.500 0.500 0.500
W: 0.750 0.750 0.750

---

# 4
DFT (PBE) results for a relaxed structure of YNbTl.

**Total DFT energy (no corrections)**: -5.35 eV/atom
**M_tot**: 3.03 Bohr magnetons per cell
**Polymorph energy (0 for the lowest one)**: 358 meV per atom
**Mass density**: 7.314 Mg/m³

Cell lengths 4.987, 4.987, 4.987 Å; angles 60.00, 60.00, 60.00 degrees
Positions (direct):
Y: 0.000 0.000 0.000
Nb: 0.750 0.750 0.750
Tl: 0.250 0.250 0.250

---

# 5
DFT (PBE) results for a relaxed structure of YNbTl.

**Total DFT energy (no corrections)**: -5.71 eV/atom
**M_tot**: 2.13 Bohr magnetons per cell
**Polymorph energy (0 for the lowest one)**: 0 meV per atom
**Mass density**: 7.701 Mg/m³

Cell lengths 4.902, 4.902, 4.902 Å; angles 60.00, 60.00, 60.00 degrees
Positions (direct):
Y: 0.000 0.000 0.000
Nb: 0.500 0.500 0.500
Tl: 0.750 0.750 0.750

---

# 6
DFT (PBE) results for a relaxed structure of YNbTl2.

**Total DFT energy (no corrections)**: -4.78 eV/atom
**M_tot**: 3.39 Bohr magnetons per cell
**Mass density**: 10.042 Mg/m³

Cell lengths 5.169, 5.169, 5.169 Å; angles 60.00, 60.00, 60.00 degrees
Positions (direct):
Y: 0.000 0.000 0.000
Nb: 0.750 0.750 0.750
Tl: 0.250 0.250 0.250
Tl: 0.500 0.500 0.500

---

# 7
DFT (PBE) results for a relaxed structure of NbTlZn.

**Total DFT energy (no corrections)**: -3.78 eV/atom
**M_tot**: 0.02 Bohr magnetons per cell
**Polymorph energy (0 for the lowest one)**: 0 meV per atom
**Mass density**: 8.733 Mg/m³

Cell lengths 4.603, 4.603, 4.603 Å; angles 60.00, 60.00, 60.00 degrees
Positions (direct):
Nb: 0.000 0.000 0.000
Tl: 0.750 0.750 0.750
Zn: 0.250 0.250 0.250

---

# 8
DFT (PBE) results for a relaxed structure of NbTlZn.

**Total DFT energy (no corrections)**: -3.69 eV/atom
**M_tot**: 1.80 Bohr magnetons per cell
**Polymorph energy (0 for the lowest one)**: 88 meV per atom
**Mass density**: 8.840 Mg/m³

Cell lengths 4.584, 4.584, 4.584 Å; angles 60.00, 60.00, 60.00 degrees
Positions (direct):
Nb: 0.000 0.000 0.000
Tl: 0.250 0.250 0.250
Zn: 0.500 0.500 0.500

---

# 9
DFT (PBE) results for a relaxed structure of Zr2NbTl.

**Total DFT energy (no corrections)**: -7.20 eV/atom
**M_tot**: 0.09 Bohr magnetons per cell
**Mass density**: 9.392 Mg/m³

Cell lengths 4.932, 4.932, 4.932 Å; angles 60.00, 60.00, 60.00 degrees
Positions (direct):
Zr: 0.000 0.000 0.000
Zr: 0.250 0.250 0.250
Nb: 0.750 0.750 0.750
Tl: 0.500 0.500 0.500

---

# 10
DFT (PBE) results for a relaxed structure of ZrNb2Tl.

**Total DFT energy (no corrections)**: -7.60 eV/atom
**M_tot**: 0.01 Bohr magnetons per cell
**Mass density**: 9.914 Mg/m³

Cell lengths 4.849, 4.849, 4.849 Å; angles 60.00, 60.00, 60.00 degrees
Positions (direct):
Zr: 0.000 0.000 0.000
Nb: 0.250 0.250 0.250
Nb: 0.500 0.500 0.500
Tl: 0.750 0.750 0.750

---

# 11
DFT (PBE) results for a relaxed structure of ZrNbTl.

**Total DFT energy (no corrections)**: -6.31 eV/atom
**M_tot**: 0.00 Bohr magnetons per cell
**Polymorph energy (0 for the lowest one)**: 0 meV per atom
**Mass density**: 8.782 Mg/m³

Cell lengths 4.701, 4.701, 4.701 Å; angles 60.00, 60.00, 60.00 degrees
Positions (direct):
Zr: 0.000 0.000 0.000
Nb: 0.500 0.500 0.500
Tl: 0.750 0.750 0.750

---

# 12
DFT (PBE) results for a relaxed structure of TmUNb.

**Energy relative to the elements**: 0.93 eV per atom
**Total DFT energy (no corrections)**: -7.69 eV/atom
**M_tot**: 0.01 Bohr magnetons per cell
**Polymorph energy (0 for the lowest one)**: 0 meV per atom
**Mass density**: 10.621 Mg/m³

Cell lengths 4.799, 4.799, 4.799 Å; angles 60.00, 60.00, 60.00 degrees
Positions (direct):
Tm: 0.000 0.000 0.000
U: 0.500 0.500 0.500
Nb: 0.250 0.250 0.250